(1)
Density functional theory data (PBE) for a relaxed Ca2NbSi4Pt3 crystal.

a = 4.160 Å, b = 4.160 Å, c = 10.556 Å
α = 90.00°, β = 90.00°, γ = 90.00°
Fractional coordinates of all 10 atoms:
Ca: 0.000 0.500 0.244
Ca: 0.500 0.000 0.756
Nb: 0.000 0.000 0.500
Si: 0.000 0.000 0.000
Si: 0.000 0.500 0.643
Si: 0.500 0.000 0.357
Si: 0.500 0.500 0.000
Pt: 0.000 0.500 0.878
Pt: 0.500 0.000 0.122
Pt: 0.500 0.500 0.500

- SG: P-4m2, No. 115
- Total magnetic moment: 0.00 μB/f.u.
- E_form (uncorrected): -806 kJ/mol of formula units
- VASP energy: -62.238 eV per formula unit

(2)
Density functional theory data (PBE) for a relaxed CaNb2ZnPt crystal.

a = 4.800 Å, b = 4.800 Å, c = 4.804 Å
α = 90.00°, β = 90.00°, γ = 90.00°
Fractional coordinates of all 5 atoms:
Ca: 0.000 0.000 0.000
Nb: 0.000 0.500 0.000
Nb: 0.500 0.000 0.000
Zn: 0.500 0.500 0.500
Pt: 0.000 0.000 0.500

- SG: P4/mmm, No. 123
- Total magnetic moment: 0.00 μB/f.u.
- ΔE_f: 1.86 eV per atom
- VASP energy: -20.180 eV per formula unit

(3)
Density functional theory data (PBE) for a relaxed RbCa2Nb crystal.

a = 7.773 Å, b = 7.773 Å, c = 7.773 Å
α = 103.73°, β = 103.73°, γ = 121.69°
Fractional coordinates of all 8 atoms:
Rb: 0.000 0.000 0.000
Rb: 0.750 0.250 0.500
Ca: 0.181 0.125 0.556
Ca: 0.375 0.819 0.944
Ca: 0.569 0.625 0.444
Ca: 0.875 0.431 0.056
Nb: 0.250 0.750 0.500
Nb: 0.500 0.500 0.000

- Energy relative to the lowest polymorph listed for this composition: 180 meV per atom
- SG: I-42d, No. 122
- Total magnetic moment: 4.26 μB/f.u.
- ΔE_f: 1.10 eV per atom
- VASP energy: -10.656 eV per formula unit

(4)
Density functional theory data (PBE) for a relaxed RbCaNb3 crystal.

a = 4.950 Å, b = 4.950 Å, c = 4.950 Å
α = 90.00°, β = 90.00°, γ = 90.00°
Fractional coordinates of all 5 atoms:
Rb: 0.000 0.000 0.000
Ca: 0.500 0.500 0.500
Nb: 0.000 0.000 0.500
Nb: 0.000 0.500 0.000
Nb: 0.500 0.000 0.000

- Energy relative to the lowest polymorph listed for this composition: 0 meV per atom
- SG: Pm-3m, No. 221
- Total magnetic moment: 0.00 μB/f.u.
- ΔE_f: 2.41 eV per atom
- VASP energy: -21.114 eV per formula unit